# 1
TbSmMgSc after structural relaxation, computed with PBE.

Cell: 3.5798 3.5787 8.9213 Å, 90.00 89.99 90.00°
Positions (direct):
Sc  0.6073  0.9297  0.8429
Tb  0.1075  0.4297  0.0904
Mg  0.6082  0.9295  0.3372
Sm  0.1075  0.4297  0.5903

Uncorrected energy ... -0.318 Ry/atom
DFT formation energy ... -7.9 meV/atom
Energy relative to the lowest polymorph listed for this composition ... 0 meV/atom

=====

# 2
SmThMgSc after structural relaxation, computed with PBE.

Cell: 5.4476 5.4476 5.4476 Å, 60.00 60.00 60.00°
Positions (direct):
Th  0.2500  0.2500  0.2500
Sm  0.7500  0.7500  0.7500
Mg  0.5000  0.5000  0.5000
Sc  0.0000  0.0000  0.0000

Uncorrected energy ... -0.363 Ry/atom
DFT formation energy ... 80.7 meV/atom

=====

# 3
Sm2Tm4MgSc after structural relaxation, computed with PBE.

Cell: 4.8917 4.9088 10.9851 Å, 63.42 90.00 90.00°
Positions (direct):
Sm  0.0000  0.0000  0.0000
Tm  0.0000  0.2455  0.2542
Tm  0.5000  0.7446  0.2548
Sc  0.0000  0.5000  0.5000
Sm  0.5000  0.0000  0.5000
Tm  0.0000  0.7545  0.7458
Mg  0.5000  0.5000  0.0000
Tm  0.5000  0.2554  0.7452

Uncorrected energy ... -0.321 Ry/atom
DFT formation energy ... 40.7 meV/atom

=====

# 4
Sm2Y4MgSc after structural relaxation, computed with PBE.

Cell: 4.9779 4.9829 11.0545 Å, 63.18 90.00 90.00°
Positions (direct):
Y  0.5000  0.7459  0.2536
Sm  0.5000  0.0000  0.5000
Sc  0.0000  0.5000  0.5000
Y  0.0000  0.2463  0.2533
Y  0.0000  0.7537  0.7467
Sm  0.0000  0.0000  0.0000
Mg  0.5000  0.5000  0.0000
Y  0.5000  0.2541  0.7464

Uncorrected energy ... -0.394 Ry/atom
DFT formation energy ... 36.3 meV/atom

=====

# 5
SmYMgSc after structural relaxation, computed with PBE.

Cell: 5.4254 5.4254 5.4254 Å, 60.00 60.00 60.00°
Positions (direct):
Mg  0.5000  0.5000  0.5000
Sm  0.2500  0.2500  0.2500
Y  0.7500  0.7500  0.7500
Sc  0.0000  0.0000  0.0000

Uncorrected energy ... -0.350 Ry/atom
DFT formation energy ... 16.8 meV/atom
Energy relative to the lowest polymorph listed for this composition ... 29 meV/atom

=====

# 6
SmYMgSc after structural relaxation, computed with PBE.

Cell: 3.5768 3.5759 8.9633 Å, 90.00 89.99 90.00°
Positions (direct):
Y  0.1076  0.4296  0.0911
Sm  0.1075  0.4297  0.5904
Sc  0.6074  0.9297  0.8419
Mg  0.6079  0.9295  0.3373

Uncorrected energy ... -0.352 Ry/atom
DFT formation energy ... -12.1 meV/atom
Energy relative to the lowest polymorph listed for this composition ... 0 meV/atom

=====

# 7
SmMgSc2Zn4 after structural relaxation, computed with PBE.

Cell: 4.7285 4.7285 8.7325 Å, 74.29 74.29 60.00°
Positions (direct):
Sc  0.2409  0.2409  0.2774
Zn  0.8749  0.8749  0.3753
Zn  0.3853  0.3853  0.8441
Zn  0.6147  0.6147  0.1559
Mg  0.5000  0.5000  0.5000
Zn  0.1251  0.1251  0.6247
Sm  0.0000  0.0000  0.0000
Sc  0.7591  0.7591  0.7226

Uncorrected energy ... -0.242 Ry/atom
DFT formation energy ... -280.8 meV/atom

=====

# 8
MgSc2Sn3 after structural relaxation, computed with PBE.

Cell: 6.0063 5.9561 8.4143 Å, 98.77 110.91 90.00°
Positions (direct):
Sc  0.5309  0.0826  0.3291
Sc  0.2017  0.4174  0.6709
Sn  0.4160  0.7500  0.0000
Sn  0.0380  0.0787  0.3402
Sn  0.6978  0.4213  0.6598
Sc  0.7983  0.5826  0.3291
Sc  0.4691  0.9174  0.6709
Mg  0.0839  0.2500  0.0000
Sn  0.9620  0.9213  0.6598
Mg  0.9161  0.7500  0.0000
Sn  0.3022  0.5787  0.3402
Sn  0.5840  0.2500  0.0000

Uncorrected energy ... -0.355 Ry/atom
DFT formation energy ... -456.3 meV/atom

=====

# 9
Mg2Sc2Sn after structural relaxation, computed with PBE.

Cell: 7.7249 7.7249 4.1561 Å, 90.00 90.00 90.00°
Positions (direct):
Mg  0.8485  0.3485  0.5000
Mg  0.3485  0.1515  0.5000
Sc  0.6481  0.1481  0.0000
Mg  0.6515  0.8485  0.5000
Sc  0.8519  0.6481  0.0000
Sn  0.0000  0.0000  0.0000
Sc  0.3519  0.8519  0.0000
Sn  0.5000  0.5000  0.0000
Sc  0.1481  0.3519  0.0000
Mg  0.1515  0.6515  0.5000

Uncorrected energy ... -0.292 Ry/atom
DFT formation energy ... -4.4 meV/atom
Energy relative to the lowest polymorph listed for this composition ... 121 meV/atom

=====

# 10
Mg2Sc2Sn after structural relaxation, computed with PBE.

Cell: 7.2347 7.2347 4.4754 Å, 90.00 90.00 90.00°
Positions (direct):
Mg  0.8658  0.6342  0.0000
Sn  0.5000  0.5000  0.0000
Mg  0.1342  0.3658  0.0000
Sc  0.3355  0.1645  0.5000
Sn  0.0000  0.0000  0.0000
Mg  0.6342  0.1342  0.0000
Sc  0.6645  0.8355  0.5000
Sc  0.1645  0.6645  0.5000
Sc  0.8355  0.3355  0.5000
Mg  0.3658  0.8658  0.0000

Uncorrected energy ... -0.301 Ry/atom
DFT formation energy ... -125.8 meV/atom
Energy relative to the lowest polymorph listed for this composition ... 0 meV/atom

=====

# 11
MgScSn after structural relaxation, computed with PBE.

Cell: 3.3459 4.8300 4.8300 Å, 120.00 90.00 90.00°
Positions (direct):
Sc  0.6668  0.3333  0.6667
Mg  0.1672  0.6667  0.3333
Sn  0.1660  0.0000  0.0000

Uncorrected energy ... -0.318 Ry/atom
DFT formation energy ... -351.1 meV/atom

=====

# 12
MgSc3Sn after structural relaxation, computed with PBE.

Cell: 5.3958 5.3958 5.3958 Å, 90.00 90.00 90.00°
Positions (direct):
Sc  0.0000  0.0000  0.5000
Sc  0.0000  0.5000  0.0000
Sc  0.5000  0.0000  0.0000
Sn  0.0000  0.0000  0.0000
Mg  0.5000  0.5000  0.5000

Uncorrected energy ... -0.339 Ry/atom
DFT formation energy ... 302.1 meV/atom
Energy relative to the lowest polymorph listed for this composition ... 438 meV/atom

=====

no.,magnetization (Bohr magnetons per cell)
1,0.0
2,0.1
3,0.0
4,0.0
5,0.0
6,0.0
7,0.0
8,0.0
9,0.0
10,0.0
11,0.0
12,1.2